This record from the Alexandria database describes a relaxed ReGe crystal. The functional is GGA-PBE.

a = 9.635 Å, b = 7.730 Å, c = 7.059 Å
α = 90.00°, β = 90.00°, γ = 90.00°
Fractional coordinates of all 32 atoms:
Ge1 0.500 0.192 0.500
Ge2 0.250 0.058 0.750
Ge3 0.500 0.692 0.000
Ge4 0.250 0.558 0.250
Ge5 0.750 0.442 0.250
Ge6 0.000 0.308 0.500
Ge7 0.750 0.058 0.250
Ge8 0.250 0.442 0.750
Ge9 0.000 0.808 0.000
Ge10 0.250 0.942 0.250
Ge11 0.000 0.692 0.500
Ge12 0.000 0.192 0.000
Ge13 0.500 0.808 0.500
Ge14 0.500 0.308 0.000
Ge15 0.750 0.558 0.750
Ge16 0.750 0.942 0.750
Re1 0.750 0.750 0.074
Re2 0.500 0.000 0.824
Re3 0.500 0.500 0.324
Re4 0.000 0.000 0.676
Re5 0.000 0.000 0.324
Re6 0.250 0.250 0.426
Re7 0.750 0.250 0.926
Re8 0.750 0.750 0.426
Re9 0.750 0.250 0.574
Re10 0.500 0.000 0.176
Re11 0.500 0.500 0.676
Re12 0.250 0.750 0.926
Re13 0.000 0.500 0.824
Re14 0.000 0.500 0.176
Re15 0.250 0.750 0.574
Re16 0.250 0.250 0.074

Values from the calculation:
- ΔH_f (0 K): 1.172 eV/f.u.
- Space group: Fddd, No. 70
- Magnetization: 0.00 μB/f.u.
- Energy: -7.95 eV/atom